--- w ---
DFT (PBE) results for an optimized crystal structure of AlC2.

Cell: 2.5494 2.5494 17.0235 Å, 90.00 90.00 120.00°
Space group R-3m (No. 166, hexagonal axes)
Unique sites:
Al: 0.0000 0.0000 0.0000 [3 per cell]
C: 0.0000 0.0000 0.1650 [6 per cell]

Values from the calculation:
Total magnetic moment (Bohr magnetons per cell): 0.00

--- x ---
DFT (PBE) results for an optimized crystal structure of AlC2.

Cell: 4.1848 4.1848 9.4463 Å, 90.00 90.00 120.00°
Space group P6_3/mmc (No. 194)
Unique sites:
Al: 0.3333 0.6667 0.1133 [4 per cell]
C: 0.0000 0.0000 0.0000 [2 per cell]
C: 0.1146 0.2291 0.2500 [6 per cell]

Values from the calculation:
Total magnetic moment (Bohr magnetons per cell): 0.00

Question: of the structures shown, which is the most stable? Reply: w.